No. 1
The following is a DFT calculation (PBE) of a geometry-optimized HoTmGe2Ir structure.

```
10
Lattice="5.220 -2.138 0.000 5.220 2.138 0.000 -4.617 0.000 9.138" Properties=species:S:1:pos:R:3 pbc="T T T"
Ge 1.624 0.000 4.084
Ge 4.467 0.000 1.053
Ge 1.356 0.000 8.085
Ge 4.199 0.000 5.054
Ho -1.437 0.000 3.012
Ho 7.260 0.000 6.127
Tm 1.434 0.000 1.084
Tm 4.389 0.000 8.054
Ir 6.058 0.000 3.059
Ir -0.235 0.000 6.080
```

Output
electronic total energy = -6.349 eV per atom
calculated density = 10.929 g cm⁻³


No. 2
The following is a DFT calculation (PBE) of a geometry-optimized TcHgGe2 structure.

```
4
Lattice="-4.200 -1.004 -1.809 -3.889 1.438 2.174 -2.612 3.400 -1.880" Properties=species:S:1:pos:R:3 pbc="T T T"
Ge -8.026 2.875 -1.136
Ge -5.351 1.917 -0.757
Tc 0.000 0.000 0.000
Hg -2.675 0.958 -0.379
```

Output
electronic total energy = -4.296 eV per atom
calculated density = 10.157 g cm⁻³


No. 3
The following is a DFT calculation (PBE) of a geometry-optimized PmMgCd structure.

```
3
Lattice="0.000 3.607 3.607 3.607 0.000 3.607 3.607 3.607 0.000" Properties=species:S:1:pos:R:3 pbc="T T T"
Cd 1.804 1.804 1.804
Pm 0.000 0.000 0.000
Mg 5.411 5.411 5.411
```

Output
electronic total energy = -2.097 eV per atom
calculated density = 4.984 g cm⁻³


No. 4
The following is a DFT calculation (PBE) of a geometry-optimized MgNiBiW structure.

```
4
Lattice="2.349 -3.837 1.382 0.839 -0.726 4.574 -2.252 -3.442 2.288" Properties=species:S:1:pos:R:3 pbc="T T T"
W 0.468 -4.003 4.122
Ni 0.702 -6.004 6.183
Mg 0.234 -2.001 2.061
Bi 0.000 0.000 0.000
```

Output
electronic total energy = -5.150 eV per atom
calculated density = 10.717 g cm⁻³